# 1
FeSbRh2N | PBE | optimized geometry

VASP energy: -6.983 eV/atom

a = 4.361 Å, b = 4.361 Å, c = 3.591 Å
α = 90.00°, β = 90.00°, γ = 90.00°
Space group P4/mmm (No. 123)
One atom of each set of equivalent atoms:
Fe 0.000 0.000 0.000 (multiplicity 1)
Sb 0.500 0.500 0.000 (multiplicity 1)
Rh 0.000 0.500 0.500 (multiplicity 2)
N 0.000 0.000 0.500 (multiplicity 1)

***

# 2
DyY3Er4 | PBE | optimized geometry

E above lowest polymorph: 0 meV per atom
Formation enthalpy at 0 K: 0.9 meV/atom

a = 11.188 Å, b = 7.241 Å, c = 6.257 Å
α = 90.00°, β = 90.00°, γ = 90.00°
Space group Pmn2_1 (No. 31)
One atom of each set of equivalent atoms:
Dy 0.000 0.127 0.000 (multiplicity 2)
Y 0.000 0.874 0.500 (multiplicity 2)
Y 0.250 0.127 0.336 (multiplicity 4)
Er 0.000 0.377 0.503 (multiplicity 2)
Er 0.000 0.623 0.004 (multiplicity 2)
Er 0.249 0.377 0.834 (multiplicity 4)

***

# 3
HfRhS2N | PBE | optimized geometry

E above lowest polymorph: 0 meV per atom

a = 4.774 Å, b = 4.774 Å, c = 3.646 Å
α = 90.00°, β = 90.00°, γ = 90.00°
Space group P4/mmm (No. 123)
One atom of each set of equivalent atoms:
Hf 0.000 0.000 0.000 (multiplicity 1)
Rh 0.500 0.500 0.500 (multiplicity 1)
S 0.000 0.500 0.500 (multiplicity 2)
N 0.500 0.500 0.000 (multiplicity 1)

***

# 4
P3SO | PBE | optimized geometry

E above lowest polymorph: 561 meV per atom

a = 4.458 Å, b = 4.458 Å, c = 4.458 Å
α = 90.00°, β = 90.00°, γ = 90.00°
Space group Pm-3m (No. 221)
One atom of each set of equivalent atoms:
P 0.000 0.000 0.500 (multiplicity 3)
S 0.000 0.000 0.000 (multiplicity 1)
O 0.500 0.500 0.500 (multiplicity 1)